Entry 1:
Compound: SbMoPt2
Source: OQMD via LeMat-Bulk
Functional: PBE
Structure: optimized geometry

Unit cell a=4.5846 b=4.5846 c=4.5846 alpha=60.00 beta=60.00 gamma=60.00
Fractional positions:
Sb 0.0000 0.0000 0.0000
Mo 0.2500 0.2500 0.2500
Pt 0.5000 0.5000 0.5000
Pt 0.7500 0.7500 0.7500

The calculation puts the energy at -26.930 eV per formula unit. The crystal system is cubic. Its space group is F-43m. The calculation puts the total magnetic moment at 0.0101 μB per atom.



Entry 2:
Compound: Hf2Bi2Pb
Source: OQMD via LeMat-Bulk
Functional: PBE
Structure: optimized geometry

Unit cell a=7.8546 b=7.8546 c=7.8546 alpha=147.01 beta=147.01 gamma=47.36
Fractional positions:
Hf 0.2500 0.7500 0.5000
Hf 0.7500 0.2500 0.5000
Bi 0.1114 0.1114 0.0000
Bi 0.8886 0.8886 0.0000
Pb 0.5000 0.5000 0.0000

The crystal system is tetragonal. For the energy above the lowest structure with this stoichiometry, the calculation gives 268.8 meV/atom. Its space group is I4/mmm. The calculation puts the total magnetic moment at 0.0052 μB per atom.



Entry 3:
Compound: NbFeRe
Source: OQMD via LeMat-Bulk
Functional: PBE
Structure: optimized geometry

Unit cell a=4.0908 b=4.0908 c=4.0908 alpha=60.00 beta=60.00 gamma=60.00
Fractional positions:
Nb 0.0000 0.0000 0.0000
Fe 0.2500 0.2500 0.2500
Re 0.5000 0.5000 0.5000

The crystal system is cubic. For the energy above the lowest structure with this stoichiometry, the calculation gives 0.0 meV/atom. Its space group is F-43m. The calculation puts the total magnetic moment at 0.1430 μB per atom. For the formation energy from the elements, the calculation gives 0.48 eV/atom.



Entry 4:
Compound: Tm3PS2
Source: OQMD via LeMat-Bulk
Functional: PBE
Structure: optimized geometry

Unit cell a=6.7264 b=6.7264 c=6.7264 alpha=146.54 beta=132.02 gamma=59.76
Fractional positions:
Tm 0.0000 0.0000 0.0000
Tm 0.3386 0.3386 0.0000
Tm 0.6614 0.6614 0.0000
P 0.5000 0.0000 0.5000
S 0.1679 0.6679 0.5000
S 0.8321 0.3321 0.5000

The crystal system is orthorhombic. For the energy above the lowest structure with this stoichiometry, the calculation gives 0.0 meV/atom. Its space group is Immm. The calculation puts the total magnetic moment at 0.0009 μB per atom.